BP2C: optimized geometry, PBE.

The structure in CIF format:
```
data_BP2C
_space_group_name_H-M_alt 'P 1'
_space_group_IT_number 1
_cell_length_a 3.115
_cell_length_b 3.265
_cell_length_c 4.948
_cell_angle_alpha 90.42
_cell_angle_beta 90.13
_cell_angle_gamma 117.65
loop_
_space_group_symop_operation_xyz
'x,y,z'
loop_
_atom_site_label
_atom_site_type_symbol
_atom_site_fract_x
_atom_site_fract_y
_atom_site_fract_z
B1 B 0.000 0.000 0.000
P1 P 0.334 0.661 0.121
P2 P 0.990 0.985 0.607
C1 C 0.341 0.674 0.494
```

Properties
* excess energy over the best structure of this formula in the dataset: 8.0 kJ per mole of atoms
* size of the total moment: 0.000 μB/cell
* crystal system: triclinic
* E_form: 1.06 eV per formula unit



NaErIn4O8: optimized geometry, PBE.

The structure in CIF format:
```
data_NaErIn4O8
_space_group_name_H-M_alt 'R 3 m'
_space_group_IT_number 160
_space_group_name_Hall 'R 3 -2"'
_cell_length_a 6.5958
_cell_length_b 6.5958
_cell_length_c 16.2014
_cell_angle_alpha 90.00
_cell_angle_beta 90.00
_cell_angle_gamma 120.00
loop_
_atom_site_label
_atom_site_type_symbol
_atom_site_fract_x
_atom_site_fract_y
_atom_site_fract_z
Na1 Na 0.0000 0.0000 0.0000
Er1 Er 0.0000 0.0000 0.6273
In1 In 0.0000 0.0000 0.2454
In2 In 0.1712 0.3423 0.4556
O1 O 0.0000 0.0000 0.3815
O2 O 0.0000 0.0000 0.8602
O3 O 0.0345 0.5172 0.3791
O4 O 0.1767 0.3534 0.2025
```

Properties
* size of the total moment: 0.005 μB/cell
* crystal system: trigonal
* final energy: -248.27 eV per cell



KFeH2: optimized geometry, PBE.

The structure in CIF format:
```
data_KFeH2
_space_group_name_H-M_alt 'F m -3 m'
_space_group_IT_number 225
_space_group_name_Hall '-F 4 2 3'
_cell_length_a 5.837
_cell_length_b 5.837
_cell_length_c 5.837
_cell_angle_alpha 90.00
_cell_angle_beta 90.00
_cell_angle_gamma 90.00
loop_
_atom_site_label
_atom_site_type_symbol
_atom_site_fract_x
_atom_site_fract_y
_atom_site_fract_z
K1 K 0.000 0.000 0.000
Fe1 Fe 0.000 0.000 0.500
H1 H 0.250 0.250 0.250
```

Properties
* excess energy over the best structure of this formula in the dataset: 115.1 kJ per mole of atoms
* size of the total moment: 0.210 μB/cell
* crystal system: cubic



Hf2Ni2P: optimized geometry, PBE.

The structure in CIF format:
```
data_Hf2Ni2P
_space_group_name_H-M_alt 'P 4/m b m'
_space_group_IT_number 127
_space_group_name_Hall '-P 4 2ab'
_cell_length_a 6.455
_cell_length_b 6.455
_cell_length_c 3.661
_cell_angle_alpha 90.00
_cell_angle_beta 90.00
_cell_angle_gamma 90.00
loop_
_atom_site_label
_atom_site_type_symbol
_atom_site_fract_x
_atom_site_fract_y
_atom_site_fract_z
Hf1 Hf 0.172 0.328 0.000
Ni1 Ni 0.132 0.632 0.500
P1 P 0.000 0.000 0.500
```

Properties
* size of the total moment: 0.000 μB/cell
* crystal system: tetragonal
* E_form: -2.96 eV per formula unit



Be2ReTe: optimized geometry, PBE.

The structure in CIF format:
```
data_Be2ReTe
_space_group_name_H-M_alt 'A m m 2'
_space_group_IT_number 38
_cell_length_a 3.427
_cell_length_b 3.206
_cell_length_c 9.977
_cell_angle_alpha 90.00
_cell_angle_beta 90.00
_cell_angle_gamma 90.00
loop_
_space_group_symop_operation_xyz
'x,y,z'
'-x,-y,z'
'-x,y,z'
'x,-y,z'
'x,y+1/2,z+1/2'
'-x,-y+1/2,z+1/2'
'-x,y+1/2,z+1/2'
'x,-y+1/2,z+1/2'
loop_
_atom_site_label
_atom_site_type_symbol
_atom_site_fract_x
_atom_site_fract_y
_atom_site_fract_z
Be1 Be 0.000 0.000 0.000
Be2 Be 0.500 0.000 0.122
Re1 Re 0.500 0.000 0.424
Te1 Te 0.000 0.000 0.748
```

Properties
* size of the total moment: 0.000 μB/cell
* crystal system: orthorhombic
* final energy: -42.21 eV per cell



BeTePd2: optimized geometry, PBE.

The structure in CIF format:
```
data_BeTePd2
_space_group_name_H-M_alt 'F m -3 m'
_space_group_IT_number 225
_space_group_name_Hall '-F 4 2 3'
_cell_length_a 6.365
_cell_length_b 6.365
_cell_length_c 6.365
_cell_angle_alpha 90.00
_cell_angle_beta 90.00
_cell_angle_gamma 90.00
loop_
_atom_site_label
_atom_site_type_symbol
_atom_site_fract_x
_atom_site_fract_y
_atom_site_fract_z
Be1 Be 0.000 0.000 0.000
Te1 Te 0.000 0.000 0.500
Pd1 Pd 0.250 0.250 0.250
```

Properties
* excess energy over the best structure of this formula in the dataset: 0.0 kJ per mole of atoms
* size of the total moment: 0.000 μB/cell
* crystal system: cubic



SrTlRe: optimized geometry, PBE.

The structure in CIF format:
```
data_SrTlRe
_space_group_name_H-M_alt 'I 4 m m'
_space_group_IT_number 107
_space_group_name_Hall 'I 4 -2'
_cell_length_a 3.136
_cell_length_b 3.136
_cell_length_c 14.364
_cell_angle_alpha 90.00
_cell_angle_beta 90.00
_cell_angle_gamma 90.00
loop_
_atom_site_label
_atom_site_type_symbol
_atom_site_fract_x
_atom_site_fract_y
_atom_site_fract_z
Sr1 Sr 0.000 0.000 0.000
Tl1 Tl 0.000 0.000 0.695
Re1 Re 0.000 0.000 0.336
```

Properties
* excess energy over the best structure of this formula in the dataset: 4.2 kJ per mole of atoms
* size of the total moment: 0.633 μB/cell
* crystal system: tetragonal
* E_form: 2.64 eV per formula unit



Pm2YErSe5: optimized geometry, PBE.

The structure in CIF format:
```
data_Pm2YErSe5
_space_group_name_H-M_alt 'P 4/m m m'
_space_group_IT_number 123
_space_group_name_Hall '-P 4 2'
_cell_length_a 5.107
_cell_length_b 5.107
_cell_length_c 10.706
_cell_angle_alpha 90.00
_cell_angle_beta 90.00
_cell_angle_gamma 90.00
loop_
_atom_site_label
_atom_site_type_symbol
_atom_site_fract_x
_atom_site_fract_y
_atom_site_fract_z
Pm1 Pm 0.000 0.000 0.176
Y1 Y 0.500 0.500 0.500
Er1 Er 0.500 0.500 0.000
Se1 Se 0.000 0.000 0.500
Se2 Se 0.000 0.500 0.000
Se3 Se 0.500 0.500 0.254
```

Properties
* size of the total moment: 0.015 μB/cell
* crystal system: tetragonal
* final energy: -49.31 eV per cell



Rb2InF6: optimized geometry, PBE.

The structure in CIF format:
```
data_Rb2InF6
_space_group_name_H-M_alt 'P -6 2 m'
_space_group_IT_number 189
_space_group_name_Hall 'P -6 -2'
_cell_length_a 6.9011
_cell_length_b 6.9011
_cell_length_c 3.6253
_cell_angle_alpha 90.00
_cell_angle_beta 90.00
_cell_angle_gamma 120.00
loop_
_atom_site_label
_atom_site_type_symbol
_atom_site_fract_x
_atom_site_fract_y
_atom_site_fract_z
Rb1 Rb 0.3333 0.6667 0.0000
In1 In 0.0000 0.0000 0.5000
F1 F 0.0000 0.2157 0.0000
F2 F 0.0000 0.6840 0.5000
```

Properties
* size of the total moment: 1.020 μB/cell
* crystal system: hexagonal
* final energy: -36.57 eV per cell



Mg2NbTl2: optimized geometry, PBE.

The structure in CIF format:
```
data_Mg2NbTl2
_space_group_name_H-M_alt 'P 4/m b m'
_space_group_IT_number 127
_space_group_name_Hall '-P 4 2ab'
_cell_length_a 8.107
_cell_length_b 8.107
_cell_length_c 3.351
_cell_angle_alpha 90.00
_cell_angle_beta 90.00
_cell_angle_gamma 90.00
loop_
_atom_site_label
_atom_site_type_symbol
_atom_site_fract_x
_atom_site_fract_y
_atom_site_fract_z
Mg1 Mg 0.151 0.349 0.000
Nb1 Nb 0.000 0.000 0.500
Tl1 Tl 0.152 0.652 0.500
```

Properties
* size of the total moment: 0.000 μB/cell
* crystal system: tetragonal
* E_form: 1.68 eV per formula unit



Pr10Ho4Th: optimized geometry, PBE.

The structure in CIF format:
```
data_Pr10Ho4Th
_space_group_name_H-M_alt 'I 4/m'
_space_group_IT_number 87
_space_group_name_Hall '-I 4'
_cell_length_a 10.135
_cell_length_b 10.135
_cell_length_c 10.925
_cell_angle_alpha 90.00
_cell_angle_beta 90.00
_cell_angle_gamma 90.00
loop_
_atom_site_label
_atom_site_type_symbol
_atom_site_fract_x
_atom_site_fract_y
_atom_site_fract_z
Pr1 Pr 0.000 0.500 0.250
Pr2 Pr 0.119 0.775 0.172
Ho1 Ho 0.057 0.726 0.500
Th1 Th 0.000 0.000 0.000
```

Properties
* size of the total moment: 0.000 μB/cell
* crystal system: tetragonal
* E_form: 6.84 eV per formula unit



LaVFe2Cu: optimized geometry, PBE.

The structure in CIF format:
```
data_LaVFe2Cu
_space_group_name_H-M_alt 'P 4/m m m'
_space_group_IT_number 123
_space_group_name_Hall '-P 4 2'
_cell_length_a 4.527
_cell_length_b 4.527
_cell_length_c 5.225
_cell_angle_alpha 90.00
_cell_angle_beta 90.00
_cell_angle_gamma 90.00
loop_
_atom_site_label
_atom_site_type_symbol
_atom_site_fract_x
_atom_site_fract_y
_atom_site_fract_z
La1 La 0.000 0.000 0.000
V1 V 0.500 0.500 0.000
Fe1 Fe 0.000 0.500 0.500
Cu1 Cu 0.000 0.000 0.500
```

Properties
* excess energy over the best structure of this formula in the dataset: 0.0 kJ per mole of atoms
* size of the total moment: 9.071 μB/cell
* crystal system: tetragonal
* E_form: 5.70 eV per formula unit



PuAgRu2: optimized geometry, PBE.

The structure in CIF format:
```
data_PuAgRu2
_space_group_name_H-M_alt 'P 4/m m m'
_space_group_IT_number 123
_space_group_name_Hall '-P 4 2'
_cell_length_a 4.314
_cell_length_b 4.314
_cell_length_c 3.703
_cell_angle_alpha 90.00
_cell_angle_beta 90.00
_cell_angle_gamma 90.00
loop_
_atom_site_label
_atom_site_type_symbol
_atom_site_fract_x
_atom_site_fract_y
_atom_site_fract_z
Pu1 Pu 0.000 0.000 0.000
Ag1 Ag 0.500 0.500 0.000
Ru1 Ru 0.000 0.500 0.500
```

Properties
* size of the total moment: 2.040 μB/cell
* crystal system: tetragonal
* E_form: 0.43 eV per formula unit



Li2YMg: optimized geometry, PBE.

The structure in CIF format:
```
data_Li2YMg
_space_group_name_H-M_alt 'I -4 2 d'
_space_group_IT_number 122
_space_group_name_Hall 'I -4 2bw'
_cell_length_a 7.952
_cell_length_b 7.952
_cell_length_c 6.257
_cell_angle_alpha 90.00
_cell_angle_beta 90.00
_cell_angle_gamma 90.00
loop_
_atom_site_label
_atom_site_type_symbol
_atom_site_fract_x
_atom_site_fract_y
_atom_site_fract_z
Li1 Li 0.221 0.250 0.125
Y1 Y 0.000 0.000 0.500
Mg1 Mg 0.000 0.000 0.000
```

Properties
* size of the total moment: 0.003 μB/cell
* crystal system: tetragonal
* E_form: 1.07 eV per formula unit



SmEr2Bi: optimized geometry, PBE.

The structure in CIF format:
```
data_SmEr2Bi
_space_group_name_H-M_alt 'P 4/m m m'
_space_group_IT_number 123
_space_group_name_Hall '-P 4 2'
_cell_length_a 4.879
_cell_length_b 4.879
_cell_length_c 4.856
_cell_angle_alpha 90.00
_cell_angle_beta 90.00
_cell_angle_gamma 90.00
loop_
_atom_site_label
_atom_site_type_symbol
_atom_site_fract_x
_atom_site_fract_y
_atom_site_fract_z
Sm1 Sm 0.000 0.000 0.000
Er1 Er 0.000 0.500 0.500
Bi1 Bi 0.500 0.500 0.000
```

Properties
* excess energy over the best structure of this formula in the dataset: 10.8 kJ per mole of atoms
* size of the total moment: 0.000 μB/cell
* crystal system: tetragonal
* E_form: -1.35 eV per formula unit



La2PrBi3: optimized geometry, PBE.

The structure in CIF format:
```
data_La2PrBi3
_space_group_name_H-M_alt 'I m m m'
_space_group_IT_number 71
_space_group_name_Hall '-I 2 2'
_cell_length_a 4.690
_cell_length_b 6.622
_cell_length_c 14.045
_cell_angle_alpha 90.00
_cell_angle_beta 90.00
_cell_angle_gamma 90.00
loop_
_atom_site_label
_atom_site_type_symbol
_atom_site_fract_x
_atom_site_fract_y
_atom_site_fract_z
La1 La 0.000 0.000 0.167
Pr1 Pr 0.000 0.000 0.500
Bi1 Bi 0.000 0.500 0.165
Bi2 Bi 0.000 0.500 0.500
```

Properties
* size of the total moment: 0.000 μB/cell
* crystal system: orthorhombic
* E_form: -6.15 eV per formula unit



DyZn5Cu2: optimized geometry, PBE.

The structure in CIF format:
```
data_DyZn5Cu2
_space_group_name_H-M_alt 'I m m m'
_space_group_IT_number 71
_space_group_name_Hall '-I 2 2'
_cell_length_a 3.867
_cell_length_b 7.212
_cell_length_c 9.437
_cell_angle_alpha 90.00
_cell_angle_beta 90.00
_cell_angle_gamma 90.00
loop_
_atom_site_label
_atom_site_type_symbol
_atom_site_fract_x
_atom_site_fract_y
_atom_site_fract_z
Dy1 Dy 0.000 0.000 0.000
Zn1 Zn 0.000 0.188 0.354
Zn2 Zn 0.000 0.500 0.000
Cu1 Cu 0.000 0.500 0.258
```

Properties
* size of the total moment: 0.000 μB/cell
* crystal system: orthorhombic
* E_form: -1.62 eV per formula unit



AlZn3Bi: optimized geometry, PBE.

The structure in CIF format:
```
data_AlZn3Bi
_space_group_name_H-M_alt 'P m -3 m'
_space_group_IT_number 221
_space_group_name_Hall '-P 4 2 3'
_cell_length_a 5.424
_cell_length_b 5.424
_cell_length_c 5.424
_cell_angle_alpha 90.00
_cell_angle_beta 90.00
_cell_angle_gamma 90.00
loop_
_atom_site_label
_atom_site_type_symbol
_atom_site_fract_x
_atom_site_fract_y
_atom_site_fract_z
Al1 Al 0.000 0.000 0.000
Zn1 Zn 0.000 0.500 0.500
Bi1 Bi 0.500 0.500 0.500
```

Properties
* excess energy over the best structure of this formula in the dataset: 34.4 kJ per mole of atoms
* size of the total moment: 0.000 μB/cell
* crystal system: cubic
* E_form: 3.99 eV per formula unit



TcF: optimized geometry, PBE.

The structure in CIF format:
```
data_TcF
_space_group_name_H-M_alt 'F d d d'
_space_group_IT_number 70
_cell_length_a 6.471
_cell_length_b 7.716
_cell_length_c 9.263
_cell_angle_alpha 90.00
_cell_angle_beta 90.00
_cell_angle_gamma 90.00
loop_
_space_group_symop_operation_xyz
'x,y,z'
'-x,-y,-z'
'-x+1/4,-y+1/4,z'
'x+1/4,y+1/4,-z'
'x,-y+1/4,-z+1/4'
'-x,y+1/4,z+1/4'
'-x+1/4,y,-z+1/4'
'x+1/4,-y,z+1/4'
'x,y+1/2,z+1/2'
'-x,-y+1/2,-z+1/2'
'-x+1/4,-y+3/4,z+1/2'
'x+1/4,y+3/4,-z+1/2'
'x,-y+3/4,-z+3/4'
'-x,y+3/4,z+3/4'
'-x+1/4,y+1/2,-z+3/4'
'x+1/4,-y+1/2,z+3/4'
'x+1/2,y,z+1/2'
'-x+1/2,-y,-z+1/2'
'-x+3/4,-y+1/4,z+1/2'
'x+3/4,y+1/4,-z+1/2'
'x+1/2,-y+1/4,-z+3/4'
'-x+1/2,y+1/4,z+3/4'
'-x+3/4,y,-z+3/4'
'x+3/4,-y,z+3/4'
'x+1/2,y+1/2,z'
'-x+1/2,-y+1/2,-z'
'-x+3/4,-y+3/4,z'
'x+3/4,y+3/4,-z'
'x+1/2,-y+3/4,-z+1/4'
'-x+1/2,y+3/4,z+1/4'
'-x+3/4,y+1/2,-z+1/4'
'x+3/4,-y+1/2,z+1/4'
loop_
_atom_site_label
_atom_site_type_symbol
_atom_site_fract_x
_atom_site_fract_y
_atom_site_fract_z
Tc1 Tc 0.125 0.262 0.125
F1 F 0.125 0.125 0.480
```

Properties
* excess energy over the best structure of this formula in the dataset: 34.6 kJ per mole of atoms
* size of the total moment: 0.002 μB/cell
* crystal system: orthorhombic



Si2SbCl: optimized geometry, PBE.

The structure in CIF format:
```
data_Si2SbCl
_space_group_name_H-M_alt 'R 3 m'
_space_group_IT_number 160
_space_group_name_Hall 'R 3 -2"'
_cell_length_a 3.8321
_cell_length_b 3.8321
_cell_length_c 23.0791
_cell_angle_alpha 90.00
_cell_angle_beta 90.00
_cell_angle_gamma 120.00
loop_
_atom_site_label
_atom_site_type_symbol
_atom_site_fract_x
_atom_site_fract_y
_atom_site_fract_z
Si1 Si 0.0000 0.0000 0.0000
Si2 Si 0.0000 0.0000 0.2823
Sb1 Sb 0.0000 0.0000 0.7339
Cl1 Cl 0.0000 0.0000 0.5480
```

Properties
* excess energy over the best structure of this formula in the dataset: 16.0 kJ per mole of atoms
* size of the total moment: 0.000 μB/cell
* crystal system: trigonal